[1]
Y2ErTe PBE relaxed; relative energy among the computed polymorphs = 0.000 eV per atom; volume = 29.3 Å³/atom; energy relative to the elements, uncorrected = -0.666 eV per atom; final energy = -5.824 eV/atom
1.0
3.951 0.000 0.000
-1.976 6.089 0.000
0.000 0.000 9.752
Y Er Te
4 2 2
Cartesian
1.975 1.639 4.497
0.000 4.450 5.255
1.975 1.639 0.379
0.000 4.450 9.373
1.975 5.381 2.438
0.000 0.708 7.314
-0.001 2.890 2.438
1.976 3.199 7.314



[2]
YEr6Te8 PBE relaxed; relative energy among the computed polymorphs = 0.268 eV per atom; volume = 33.8 Å³/atom; energy relative to the elements, uncorrected = -1.053 eV per atom; final energy = -4.985 eV/atom
1.0
7.978 0.064 0.067
-0.184 7.976 0.067
-0.184 -0.190 7.974
Er Te Y
6 8 1
Cartesian
3.203 4.459 1.622
6.232 4.603 3.598
4.406 3.391 6.485
4.357 1.513 3.391
3.252 6.336 4.716
1.377 3.247 4.509
4.950 6.938 2.082
5.859 6.045 6.243
1.749 1.805 1.864
6.780 1.915 5.228
0.828 5.935 2.879
2.659 0.912 6.025
1.703 5.005 7.002
5.906 2.844 1.105
0.000 0.000 0.000



[3]
Y2ErTe PBE relaxed; relative energy among the computed polymorphs = 0.451 eV per atom; volume = 33.7 Å³/atom; energy relative to the elements, uncorrected = -0.214 eV per atom; final energy = -5.372 eV/atom
1.0
-0.671 2.117 3.112
-1.973 -1.472 2.925
8.172 -3.294 6.351
Er Y Te
1 2 1
Cartesian
0.000 0.000 0.000
5.402 -2.221 5.024
0.127 -0.429 7.364
2.764 -1.325 6.194



[4]
YEr2Te3 PBE relaxed; relative energy among the computed polymorphs = 0.027 eV per atom; volume = 28.8 Å³/atom; energy relative to the elements, uncorrected = -1.243 eV per atom; final energy = -5.412 eV/atom
1.0
4.367 0.000 0.000
0.000 6.108 0.000
-2.183 -3.054 6.481
Er Te Y
2 3 1
Cartesian
3.275 4.581 1.146
-1.092 -1.527 5.335
1.092 -1.527 3.240
-1.092 1.527 5.451
3.275 1.527 1.030
1.092 1.527 3.240



[5]
Y4ErTe2 PBE relaxed; volume = 32.4 Å³/atom; energy relative to the elements, uncorrected = -0.516 eV per atom; final energy = -5.759 eV/atom
1.0
5.439 0.000 0.000
2.719 4.710 0.000
2.719 1.570 8.841
Te Er Y
2 1 4
Cartesian
5.439 3.140 7.500
5.439 3.140 1.341
5.439 3.140 4.420
2.719 1.570 1.780
8.158 4.710 7.061
2.719 1.570 5.291
8.158 4.710 3.550



[6]
Er4ZnTe3 PBE relaxed; volume = 27.9 Å³/atom; energy relative to the elements, uncorrected = -1.012 eV per atom; final energy = -4.631 eV/atom
1.0
4.149 0.000 0.000
0.000 7.513 0.028
0.000 -2.343 7.138
Te Er Zn
3 4 1
Cartesian
2.075 2.585 3.583
0.000 -1.171 3.569
0.000 3.756 0.014
0.000 3.991 5.532
2.075 -0.029 5.470
0.000 1.179 1.634
2.075 5.200 1.696
2.075 0.000 0.000



[7]
ErZnTe3 PBE relaxed; volume = 30.2 Å³/atom; energy relative to the elements, uncorrected = -0.701 eV per atom; final energy = -3.753 eV/atom
1.0
4.104 -0.001 0.000
-2.050 7.605 0.000
0.000 0.000 9.673
Te Er Zn
6 2 2
Cartesian
-1.025 6.224 5.483
1.026 5.059 2.418
-1.025 6.224 9.026
3.079 1.380 4.190
3.079 1.380 0.647
1.027 2.545 7.255
-1.025 7.401 2.418
3.078 0.203 7.255
3.078 3.361 2.418
-1.024 4.243 7.255



[8]
Er7Zn2Te2 PBE relaxed; relative energy among the computed polymorphs = 0.000 eV per atom; volume = 27.0 Å³/atom; energy relative to the elements, uncorrected = -0.590 eV per atom; final energy = -4.297 eV/atom
1.0
-1.137 -2.383 -3.156
7.691 -4.636 -1.952
0.831 -8.487 3.426
Er Te Zn
7 2 2
Cartesian
5.680 -8.732 -0.817
0.365 -9.621 1.768
1.271 -5.963 1.362
6.045 -11.530 1.163
-0.048 -4.755 -1.757
3.176 -5.948 -2.017
2.855 -11.372 -0.489
5.988 -5.592 -0.617
2.719 -8.299 -0.078
2.344 -3.328 -1.014
6.358 -11.438 -1.701



energy relative to the elements, uncorrected of number 6 (Er4ZnTe3)? -1.012 eV per atom



Look up the final energy of the third one. -5.372 eV/atom